(1)
# Bi6Br

A geometry-optimized Bi6Br structure (PBE, Alexandria).

Unit cell a=7.5861 b=7.5861 c=7.5861 alpha=109.47 beta=109.47 gamma=109.47
Positions (direct):
Bi: 0.7500 0.2500 0.5000
Bi: 0.7500 0.5000 0.2500
Bi: 0.2500 0.7500 0.5000
Bi: 0.5000 0.7500 0.2500
Bi: 0.2500 0.5000 0.7500
Bi: 0.5000 0.2500 0.7500
Br: 0.0000 0.0000 0.0000

As for the uncorrected formation energy: 101 kJ/mol of formula units. The mass density is 6590 kg/m3. The value obtained for the uncorrected energy is -3.416 eV/atom.

(2)
# ScSe3

A geometry-optimized ScSe3 structure (PBE, Alexandria).

Unit cell a=5.0824 b=4.4599 c=4.5035 alpha=72.87 beta=90.00 gamma=90.00
Positions (direct):
Se: 0.5000 0.2012 0.1353
Se: 0.0000 0.5000 0.5000
Se: 0.5000 0.7988 0.8647
Sc: 0.0000 0.0000 0.0000

As for the uncorrected formation energy: -283 kJ/mol of formula units. The mass density is 4797 kg/m3. The value obtained for the uncorrected energy is -4.930 eV/atom.